Record 1
{
  "formula": "La6TbPm2Y",
  "functional": "PBE",
  "state": "relaxed",
  "lattice_angstrom": [[-2.585, 7.508, -4.745], [-5.885, -3.298, -2.012], [0.827, 2.160, 6.356]],
  "species": ["La", "La", "La", "La", "La", "La", "Tb", "Pm", "Pm", "Y"],
  "frac_coords": [[0.421, 0.628, 0.255], [0.198, 0.036, 0.608], [0.802, 0.428, 0.392], [0.198, 0.572, 0.608], [0.802, 0.964, 0.392], [0.579, 0.372, 0.745], [0.000, 0.500, 0.000], [0.171, 0.075, 0.150], [0.829, 0.925, 0.850], [0.500, 0.000, 0.000]],
  "magmom_total_mub_per_atom": 0.00,
  "dos_ef_per_ev_fu": 16.904,
  "e_form_ev_per_atom": 0.18
}


Record 2
{
  "formula": "La3Tb2PmY6",
  "functional": "PBE",
  "state": "relaxed",
  "lattice_angstrom": [[6.282, -0.001, 0.003], [-3.140, 5.441, 0.003], [-1.050, -1.818, 11.726]],
  "species": ["La", "La", "La", "Tb", "Tb", "Pm", "Y", "Y", "Y", "Y", "Y", "Y"],
  "frac_coords": [[0.167, 0.833, 0.500], [0.833, 0.167, 0.500], [0.500, 0.500, 0.500], [0.333, 0.667, 0.000], [0.667, 0.333, 0.000], [0.000, 0.000, 0.000], [0.918, 0.584, 0.754], [0.748, 0.748, 0.246], [0.082, 0.416, 0.246], [0.584, 0.918, 0.754], [0.252, 0.252, 0.754], [0.416, 0.082, 0.246]],
  "magmom_total_mub_per_atom": 0.00,
  "dos_ef_per_ev_fu": 16.105,
  "e_form_ev_per_atom": 0.02
}


Record 3
{
  "formula": "LaTb2Pm5Y",
  "functional": "PBE",
  "state": "relaxed",
  "lattice_angstrom": [[-4.901, 1.247, 2.682], [-2.423, -7.296, -7.145], [1.980, -7.709, 7.200]],
  "species": ["La", "La", "Tb", "Tb", "Tb", "Tb", "Pm", "Pm", "Pm", "Pm", "Pm", "Pm", "Pm", "Pm", "Pm", "Pm", "Y", "Y"],
  "frac_coords": [[0.584, 0.167, 0.953], [0.416, 0.833, 0.453], [0.884, 0.769, 0.820], [0.113, 0.227, 0.732], [0.116, 0.231, 0.320], [0.887, 0.773, 0.232], [0.386, 0.773, 0.023], [0.719, 0.437, 0.813], [0.481, 0.961, 0.741], [0.297, 0.594, 0.708], [0.983, 0.965, 0.524], [0.614, 0.227, 0.523], [0.281, 0.563, 0.313], [0.519, 0.039, 0.241], [0.703, 0.406, 0.208], [0.017, 0.035, 0.024], [0.799, 0.598, 0.511], [0.201, 0.402, 0.011]],
  "magmom_total_mub_per_atom": 0.00,
  "dos_ef_per_ev_fu": 14.340,
  "e_form_ev_per_atom": 0.15
}


Record 4
{
  "formula": "La5TbPmY2",
  "functional": "PBE",
  "state": "relaxed",
  "lattice_angstrom": [[9.557, 0.000, 0.000], [0.000, 9.557, 0.000], [-4.779, -4.779, 7.102]],
  "species": ["La", "La", "La", "La", "La", "La", "La", "La", "La", "La", "Tb", "Tb", "Pm", "Pm", "Y", "Y", "Y", "Y"],
  "frac_coords": [[0.936, 0.436, 0.276], [0.660, 0.160, 0.724], [0.064, 0.564, 0.724], [0.160, 0.064, 0.724], [0.564, 0.660, 0.724], [0.840, 0.936, 0.276], [0.436, 0.340, 0.276], [0.340, 0.840, 0.276], [0.500, 0.500, 0.000], [0.000, 0.000, 0.000], [0.250, 0.750, 0.500], [0.750, 0.250, 0.500], [0.250, 0.250, 0.500], [0.750, 0.750, 0.500], [0.109, 0.391, 0.000], [0.609, 0.109, 0.000], [0.391, 0.891, 0.000], [0.891, 0.609, 0.000]],
  "magmom_total_mub_per_atom": 0.00,
  "dos_ef_per_ev_fu": 15.678,
  "e_form_ev_per_atom": 0.29
}


Record 5
{
  "formula": "LaTb2Pm2Y4",
  "functional": "PBE",
  "state": "relaxed",
  "lattice_angstrom": [[3.638, 0.000, 0.000], [-1.819, 9.427, -0.537], [0.000, -3.691, 8.927]],
  "species": ["La", "Tb", "Tb", "Pm", "Pm", "Y", "Y", "Y", "Y"],
  "frac_coords": [[0.000, 0.000, 0.000], [0.852, 0.704, 0.336], [0.148, 0.296, 0.664], [0.332, 0.665, 0.000], [0.668, 0.335, 0.000], [0.814, 0.628, 0.664], [0.186, 0.372, 0.336], [0.519, 0.039, 0.337], [0.481, 0.961, 0.663]],
  "magmom_total_mub_per_atom": 0.00,
  "dos_ef_per_ev_fu": 13.061,
  "e_form_ev_per_atom": 0.00
}


Record 6
{
  "formula": "La2Tb2PmY6",
  "functional": "PBE",
  "state": "relaxed",
  "lattice_angstrom": [[6.687, -0.613, -0.494], [-3.838, 5.510, -0.494], [-1.937, -3.330, 11.368]],
  "species": ["La", "La", "Tb", "Tb", "Pm", "Y", "Y", "Y", "Y", "Y", "Y"],
  "frac_coords": [[0.288, 0.712, 0.500], [0.712, 0.288, 0.500], [0.870, 0.130, 0.000], [0.130, 0.870, 0.000], [0.000, 0.000, 0.500], [0.708, 0.708, 0.707], [0.156, 0.455, 0.805], [0.292, 0.292, 0.293], [0.455, 0.156, 0.805], [0.844, 0.545, 0.195], [0.545, 0.844, 0.195]],
  "magmom_total_mub_per_atom": 0.00,
  "dos_ef_per_ev_fu": 17.250,
  "e_form_ev_per_atom": 0.13
}


Record 7
{
  "formula": "LaTb3Pm6Y2",
  "functional": "PBE",
  "state": "relaxed",
  "lattice_angstrom": [[6.282, 0.000, 0.018], [-3.140, 5.441, 0.018], [-1.083, -1.874, 11.804]],
  "species": ["La", "Tb", "Tb", "Tb", "Pm", "Pm", "Pm", "Pm", "Pm", "Pm", "Y", "Y"],
  "frac_coords": [[0.000, 0.000, 0.000], [0.167, 0.833, 0.500], [0.833, 0.167, 0.500], [0.500, 0.500, 0.500], [0.916, 0.582, 0.747], [0.751, 0.751, 0.253], [0.084, 0.418, 0.253], [0.582, 0.916, 0.747], [0.249, 0.249, 0.747], [0.418, 0.084, 0.253], [0.334, 0.666, 0.000], [0.666, 0.334, 0.000]],
  "magmom_total_mub_per_atom": 0.00,
  "dos_ef_per_ev_fu": 16.234,
  "e_form_ev_per_atom": 0.02
}


Record 8
{
  "formula": "LaTb2Pm2Y",
  "functional": "PBE",
  "state": "relaxed",
  "lattice_angstrom": [[-1.743, -2.829, -1.225], [13.990, -8.795, 0.411], [-1.427, -1.963, 6.566]],
  "species": ["La", "La", "Tb", "Tb", "Tb", "Tb", "Pm", "Pm", "Pm", "Pm", "Y", "Y"],
  "frac_coords": [[0.000, 0.000, 0.000], [0.500, 0.500, 0.500], [0.500, 0.156, 0.249], [0.000, 0.656, 0.251], [0.500, 0.844, 0.751], [0.000, 0.344, 0.749], [0.500, 0.840, 0.253], [0.500, 0.160, 0.747], [0.000, 0.660, 0.753], [0.000, 0.340, 0.247], [0.500, 0.500, 0.000], [0.000, 0.000, 0.500]],
  "magmom_total_mub_per_atom": 0.00,
  "dos_ef_per_ev_fu": 8.862,
  "e_form_ev_per_atom": 0.15
}


Record 9
{
  "formula": "La3TbPm2Y6",
  "functional": "PBE",
  "state": "relaxed",
  "lattice_angstrom": [[6.299, -0.001, 0.003], [-3.149, 5.455, 0.003], [-1.054, -1.824, 11.727]],
  "species": ["La", "La", "La", "Tb", "Pm", "Pm", "Y", "Y", "Y", "Y", "Y", "Y"],
  "frac_coords": [[0.167, 0.833, 0.500], [0.833, 0.167, 0.500], [0.500, 0.500, 0.500], [0.000, 0.000, 0.000], [0.333, 0.667, 0.000], [0.667, 0.333, 0.000], [0.918, 0.585, 0.753], [0.749, 0.749, 0.247], [0.082, 0.415, 0.247], [0.585, 0.918, 0.753], [0.251, 0.251, 0.753], [0.415, 0.082, 0.247]],
  "magmom_total_mub_per_atom": 0.00,
  "dos_ef_per_ev_fu": 15.443,
  "e_form_ev_per_atom": 0.01
}


Record 10
{
  "formula": "LaTbPm3Y",
  "functional": "PBE",
  "state": "relaxed",
  "lattice_angstrom": [[5.167, 0.000, 0.000], [0.000, 8.083, -0.788], [0.000, -3.877, 10.192]],
  "species": ["La", "La", "Tb", "Tb", "Pm", "Pm", "Pm", "Pm", "Pm", "Pm", "Y", "Y"],
  "frac_coords": [[0.750, 0.876, 0.708], [0.250, 0.124, 0.292], [0.250, 0.126, 0.626], [0.750, 0.874, 0.374], [0.250, 0.627, 0.457], [0.750, 0.873, 0.041], [0.750, 0.377, 0.208], [0.750, 0.373, 0.543], [0.250, 0.623, 0.792], [0.250, 0.127, 0.959], [0.250, 0.622, 0.125], [0.750, 0.378, 0.875]],
  "magmom_total_mub_per_atom": 0.00,
  "dos_ef_per_ev_fu": 9.554,
  "e_form_ev_per_atom": 0.02
}